# 1
A geometry-optimized LaYPd structure, computed with GGA-PBE.

CIF file:
```
data_LaYPd
_chemical_formula_sum 'La12 Y12 Pd12'
_cell_length_a 9.942
_cell_length_b 13.852
_cell_length_c 7.257
_cell_angle_alpha 90.00
_cell_angle_beta 90.00
_cell_angle_gamma 90.00
_space_group_name_H-M_alt 'I m a 2'
_space_group_IT_number 46
loop_
_space_group_symop_operation_xyz
'x,y,z'
'-x,-y,z'
'-x+1/2,y,z'
'x+1/2,-y,z'
'x+1/2,y+1/2,z+1/2'
'-x+1/2,-y+1/2,z+1/2'
'-x,y+1/2,z+1/2'
'x,-y+1/2,z+1/2'
loop_
_atom_site_label
_atom_site_type_symbol
_atom_site_fract_x
_atom_site_fract_y
_atom_site_fract_z
La1 La 0.250 0.001 0.000
La2 La 0.250 0.198 0.404
La3 La 0.250 0.698 0.902
Y1 Y 0.000 0.000 0.332
Y2 Y 0.001 0.625 0.256
Pd1 Pd 0.000 0.178 0.133
Pd2 Pd 0.250 0.000 0.580
```

Energy of formation ... -0.529 eV/atom
ΔE to the lowest computed polymorph ... 0.105 eV per formula unit
Final energy ... -218.1 eV for the cell shown


# 2
A geometry-optimized Ca5Pa3H12 structure, computed with GGA-PBE.

CIF file:
```
data_Ca5Pa3H12
_chemical_formula_sum 'Ca40 Pa24 H96'
_cell_length_a 13.131
_cell_length_b 13.131
_cell_length_c 13.131
_cell_angle_alpha 90.00
_cell_angle_beta 90.00
_cell_angle_gamma 90.00
_space_group_name_H-M_alt 'I a -3 d'
_space_group_IT_number 230
_space_group_name_Hall '-I 4bd 2c 3'
loop_
_atom_site_label
_atom_site_type_symbol
_atom_site_fract_x
_atom_site_fract_y
_atom_site_fract_z
Ca1 Ca 0.000 0.000 0.000
Ca2 Ca 0.000 0.250 0.375
Pa1 Pa 0.000 0.250 0.125
H1 H 0.001 0.077 0.157
```

Final energy ... -667.7 eV for the cell shown


# 3
A geometry-optimized KNaGe2Pd structure, computed with GGA-PBE.

CIF file:
```
data_KNaGe2Pd
_chemical_formula_sum 'K1 Na1 Ge2 Pd1'
_cell_length_a 5.682
_cell_length_b 5.682
_cell_length_c 5.153
_cell_angle_alpha 90.00
_cell_angle_beta 90.00
_cell_angle_gamma 90.00
_space_group_name_H-M_alt 'P 4/m m m'
_space_group_IT_number 123
_space_group_name_Hall '-P 4 2'
loop_
_atom_site_label
_atom_site_type_symbol
_atom_site_fract_x
_atom_site_fract_y
_atom_site_fract_z
K1 K 0.000 0.000 0.000
Na1 Na 0.500 0.500 0.500
Ge1 Ge 0.000 0.500 0.000
Pd1 Pd 0.000 0.000 0.500
```

Energy of formation ... 1.140 eV/atom
Final energy ... -11.1 eV for the cell shown


# 4
A geometry-optimized Tb4SnBi2 structure, computed with GGA-PBE.

CIF file:
```
data_Tb4SnBi2
_chemical_formula_sum 'Tb32 Sn8 Bi16'
_cell_length_a 9.592
_cell_length_b 13.852
_cell_length_c 13.876
_cell_angle_alpha 90.00
_cell_angle_beta 90.00
_cell_angle_gamma 90.00
_space_group_name_H-M_alt 'F d d d'
_space_group_IT_number 70
loop_
_space_group_symop_operation_xyz
'x,y,z'
'-x,-y,-z'
'-x+1/4,-y+1/4,z'
'x+1/4,y+1/4,-z'
'x,-y+1/4,-z+1/4'
'-x,y+1/4,z+1/4'
'-x+1/4,y,-z+1/4'
'x+1/4,-y,z+1/4'
'x,y+1/2,z+1/2'
'-x,-y+1/2,-z+1/2'
'-x+1/4,-y+3/4,z+1/2'
'x+1/4,y+3/4,-z+1/2'
'x,-y+3/4,-z+3/4'
'-x,y+3/4,z+3/4'
'-x+1/4,y+1/2,-z+3/4'
'x+1/4,-y+1/2,z+3/4'
'x+1/2,y,z+1/2'
'-x+1/2,-y,-z+1/2'
'-x+3/4,-y+1/4,z+1/2'
'x+3/4,y+1/4,-z+1/2'
'x+1/2,-y+1/4,-z+3/4'
'-x+1/2,y+1/4,z+3/4'
'-x+3/4,y,-z+3/4'
'x+3/4,-y,z+3/4'
'x+1/2,y+1/2,z'
'-x+1/2,-y+1/2,-z'
'-x+3/4,-y+3/4,z'
'x+3/4,y+3/4,-z'
'x+1/2,-y+3/4,-z+1/4'
'-x+1/2,y+3/4,z+1/4'
'-x+3/4,y+1/2,-z+1/4'
'x+3/4,-y+1/2,z+1/4'
loop_
_atom_site_label
_atom_site_type_symbol
_atom_site_fract_x
_atom_site_fract_y
_atom_site_fract_z
Tb1 Tb 0.065 0.280 0.470
Sn1 Sn 0.125 0.125 0.625
Bi1 Bi 0.000 0.000 0.000
```

Energy of formation ... -0.571 eV/atom
Final energy ... -274.3 eV for the cell shown


# 5
A geometry-optimized KSb2As structure, computed with GGA-PBE.

CIF file:
```
data_KSb2As
_chemical_formula_sum 'K2 Sb4 As2'
_cell_length_a 3.795
_cell_length_b 5.889
_cell_length_c 10.480
_cell_angle_alpha 90.00
_cell_angle_beta 90.00
_cell_angle_gamma 90.00
_space_group_name_H-M_alt 'I m m 2'
_space_group_IT_number 44
loop_
_space_group_symop_operation_xyz
'x,y,z'
'-x,-y,z'
'-x,y,z'
'x,-y,z'
'x+1/2,y+1/2,z+1/2'
'-x+1/2,-y+1/2,z+1/2'
'-x+1/2,y+1/2,z+1/2'
'x+1/2,-y+1/2,z+1/2'
loop_
_atom_site_label
_atom_site_type_symbol
_atom_site_fract_x
_atom_site_fract_y
_atom_site_fract_z
K1 K 0.000 0.000 0.000
Sb1 Sb 0.000 0.000 0.469
Sb2 Sb 0.000 0.500 0.205
As1 As 0.000 0.500 0.780
```

Formation energy (no corrections) ... 0.04 eV/atom
Final energy ... -27.6 eV for the cell shown


# 6
A geometry-optimized Tl4Cd2Pb3 structure, computed with GGA-PBE.

CIF file:
```
data_Tl4Cd2Pb3
_chemical_formula_sum 'Tl8 Cd4 Pb6'
_cell_length_a 14.102
_cell_length_b 3.641
_cell_length_c 10.730
_cell_angle_alpha 90.00
_cell_angle_beta 105.79
_cell_angle_gamma 90.00
_space_group_name_H-M_alt 'C 1 2/m 1'
_space_group_IT_number 12
loop_
_space_group_symop_operation_xyz
'x,y,z'
'-x,-y,-z'
'-x,y,-z'
'x,-y,z'
'x+1/2,y+1/2,z'
'-x+1/2,-y+1/2,-z'
'-x+1/2,y+1/2,-z'
'x+1/2,-y+1/2,z'
loop_
_atom_site_label
_atom_site_type_symbol
_atom_site_fract_x
_atom_site_fract_y
_atom_site_fract_z
Tl1 Tl 0.012 0.000 0.335
Tl2 Tl 0.170 0.500 0.887
Cd1 Cd 0.163 0.500 0.214
Pb1 Pb 0.000 0.000 0.000
Pb2 Pb 0.176 0.500 0.569
```

Energy of formation ... 0.028 eV/atom
Final energy ... -44.3 eV for the cell shown


# 7
A geometry-optimized CaTaCr2Tc structure, computed with GGA-PBE.

CIF file:
```
data_CaTaCr2Tc
_chemical_formula_sum 'Ca1 Ta1 Cr2 Tc1'
_cell_length_a 4.227
_cell_length_b 4.227
_cell_length_c 4.675
_cell_angle_alpha 90.00
_cell_angle_beta 90.00
_cell_angle_gamma 90.00
_space_group_name_H-M_alt 'P 4/m m m'
_space_group_IT_number 123
_space_group_name_Hall '-P 4 2'
loop_
_atom_site_label
_atom_site_type_symbol
_atom_site_fract_x
_atom_site_fract_y
_atom_site_fract_z
Ca1 Ca 0.000 0.000 0.000
Ta1 Ta 0.500 0.500 0.500
Cr1 Cr 0.000 0.500 0.000
Tc1 Tc 0.000 0.000 0.500
```

Energy of formation ... 2.296 eV/atom
Final energy ... -32.0 eV for the cell shown


# 8
A geometry-optimized SiPtPb2 structure, computed with GGA-PBE.

CIF file:
```
data_SiPtPb2
_chemical_formula_sum 'Si2 Pt2 Pb4'
_cell_length_a 3.465
_cell_length_b 5.134
_cell_length_c 10.676
_cell_angle_alpha 90.00
_cell_angle_beta 90.00
_cell_angle_gamma 90.00
_space_group_name_H-M_alt 'I m m 2'
_space_group_IT_number 44
loop_
_space_group_symop_operation_xyz
'x,y,z'
'-x,-y,z'
'-x,y,z'
'x,-y,z'
'x+1/2,y+1/2,z+1/2'
'-x+1/2,-y+1/2,z+1/2'
'-x+1/2,y+1/2,z+1/2'
'x+1/2,-y+1/2,z+1/2'
loop_
_atom_site_label
_atom_site_type_symbol
_atom_site_fract_x
_atom_site_fract_y
_atom_site_fract_z
Si1 Si 0.000 0.000 0.000
Pt1 Pt 0.000 0.500 0.351
Pb1 Pb 0.000 0.000 0.582
Pb2 Pb 0.000 0.500 0.788
```

Formation energy (no corrections) ... 0.01 eV/atom
Final energy ... -37.7 eV for the cell shown